1.
DFT (GGA-PBE) results for PuCdIrPt after structural relaxation.

Properties
For the electronic total energy, the calculation gives -7.87 eV per atom. As for the crystal system: cubic. The value obtained for the density of states at the Fermi level is 1.95 states/eV/atom. Its formation energy is -329 meV per atom.

Cell lengths 6.7473, 6.7473, 6.7473 Å; angles 90.00, 90.00, 90.00 degrees
With the nearest neighbours (Å) after each atom.
Element x y z (fractional)
Pu  0.0000  0.0000  0.0000  4 Pt 2.92, 4 Ir 2.92
Pu  0.0000  0.5000  0.5000  4 Pt 2.92, 4 Ir 2.92
Pu  0.5000  0.0000  0.5000  4 Pt 2.92, 4 Ir 2.92
Pu  0.5000  0.5000  0.0000  4 Pt 2.92, 4 Ir 2.92
Cd  0.0000  0.0000  0.5000  4 Ir 2.92, 4 Pt 2.92
Cd  0.0000  0.5000  0.0000  4 Ir 2.92, 4 Pt 2.92
Cd  0.5000  0.0000  0.0000  4 Ir 2.92, 4 Pt 2.92
Cd  0.5000  0.5000  0.5000  4 Ir 2.92, 4 Pt 2.92
Ir  0.2500  0.2500  0.7500  4 Pu 2.92, 4 Cd 2.92
Ir  0.2500  0.7500  0.2500  4 Pu 2.92, 4 Cd 2.92
Ir  0.7500  0.2500  0.2500  4 Pu 2.92, 4 Cd 2.92
Ir  0.7500  0.7500  0.7500  4 Pu 2.92, 4 Cd 2.92
Pt  0.2500  0.2500  0.2500  4 Cd 2.92, 4 Pu 2.92
Pt  0.2500  0.7500  0.7500  4 Cd 2.92, 4 Pu 2.92
Pt  0.7500  0.2500  0.7500  4 Cd 2.92, 4 Pu 2.92
Pt  0.7500  0.7500  0.2500  4 Cd 2.92, 4 Pu 2.92

2.
DFT (GGA-PBE) results for Sc5Cd2Ir2Pt after structural relaxation.

Properties
For the electronic total energy, the calculation gives -6.42 eV per atom. As for the crystal system: tetragonal. The value obtained for the density of states at the Fermi level is 0.71 states/eV/atom. Its formation energy is -695 meV per atom.

Cell lengths 11.1133, 11.1133, 3.3416 Å; angles 90.00, 90.00, 90.00 degrees
With the nearest neighbours (Å) after each atom.
Element x y z (fractional)
Sc  0.0000  0.5000  0.0000  4 Ir 2.69
Sc  0.0723  0.1954  0.0000  2 Ir 2.62, 2 Pt 2.86
Sc  0.1954  0.9277  0.0000  2 Ir 2.62, 2 Pt 2.86
Sc  0.3046  0.4277  0.0000  2 Ir 2.62, 2 Pt 2.86
Sc  0.4277  0.6954  0.0000  2 Ir 2.62, 2 Pt 2.86
Sc  0.5000  0.0000  0.0000  4 Ir 2.69
Sc  0.5723  0.3046  0.0000  2 Ir 2.62, 2 Pt 2.86
Sc  0.6954  0.5723  0.0000  2 Ir 2.62, 2 Pt 2.86
Sc  0.8046  0.0723  0.0000  2 Ir 2.62, 2 Pt 2.86
Sc  0.9277  0.8046  0.0000  2 Ir 2.62, 2 Pt 2.86
Cd  0.1718  0.6718  0.5000  1 Ir 3.05, 6 Sc 3.18-3.31, 2 Cd 3.34
Cd  0.3282  0.1718  0.5000  1 Ir 3.05, 6 Sc 3.18-3.31, 2 Cd 3.34
Cd  0.6718  0.8282  0.5000  1 Ir 3.05, 6 Sc 3.18-3.31, 2 Cd 3.34
Cd  0.8282  0.3282  0.5000  1 Ir 3.05, 6 Sc 3.18-3.31, 2 Cd 3.34
Ir  0.1340  0.3660  0.5000  6 Sc 2.62-2.69
Ir  0.3660  0.8660  0.5000  6 Sc 2.62-2.69
Ir  0.6340  0.1340  0.5000  6 Sc 2.62-2.69
Ir  0.8660  0.6340  0.5000  6 Sc 2.62-2.69
Pt  0.0000  0.0000  0.5000  8 Sc 2.86
Pt  0.5000  0.5000  0.5000  8 Sc 2.86

3.
DFT (GGA-PBE) results for CdSnIrPt2 after structural relaxation.

Properties
For the electronic total energy, the calculation gives -3.72 eV per atom. As for the crystal system: tetragonal. The value obtained for the density of states at the Fermi level is 0.66 states/eV/atom. Its formation energy is 1456 meV per atom.

Cell lengths 4.8835, 4.8835, 5.1236 Å; angles 90.00, 90.00, 90.00 degrees
With the nearest neighbours (Å) after each atom.
Element x y z (fractional)
Cd  0.0000  0.0000  0.0000  2 Sn 2.56
Sn  0.0000  0.0000  0.5000  4 Pt 2.44, 2 Cd 2.56
Ir  0.5000  0.5000  0.0000  4 Cd 3.45, 8 Pt 3.54
Pt  0.0000  0.5000  0.5000  2 Sn 2.44
Pt  0.5000  0.0000  0.5000  2 Sn 2.44

4.
DFT (GGA-PBE) results for TbCdIrPt after structural relaxation.

Properties
For the electronic total energy, the calculation gives -5.65 eV per atom. As for the crystal system: cubic. The value obtained for the density of states at the Fermi level is 0.56 states/eV/atom. Its formation energy is -537 meV per atom.

Cell lengths 6.7382, 6.7382, 6.7382 Å; angles 90.00, 90.00, 90.00 degrees
With the nearest neighbours (Å) after each atom.
Element x y z (fractional)
Tb  0.0000  0.0000  0.0000  4 Ir 2.92, 4 Pt 2.92
Tb  0.0000  0.5000  0.5000  4 Ir 2.92, 4 Pt 2.92
Tb  0.5000  0.0000  0.5000  4 Ir 2.92, 4 Pt 2.92
Tb  0.5000  0.5000  0.0000  4 Ir 2.92, 4 Pt 2.92
Cd  0.0000  0.0000  0.5000  4 Ir 2.92, 4 Pt 2.92
Cd  0.0000  0.5000  0.0000  4 Ir 2.92, 4 Pt 2.92
Cd  0.5000  0.0000  0.0000  4 Ir 2.92, 4 Pt 2.92
Cd  0.5000  0.5000  0.5000  4 Ir 2.92, 4 Pt 2.92
Ir  0.2500  0.2500  0.2500  4 Cd 2.92, 4 Tb 2.92
Ir  0.2500  0.7500  0.7500  4 Cd 2.92, 4 Tb 2.92
Ir  0.7500  0.2500  0.7500  4 Cd 2.92, 4 Tb 2.92
Ir  0.7500  0.7500  0.2500  4 Cd 2.92, 4 Tb 2.92
Pt  0.2500  0.2500  0.7500  4 Cd 2.92, 4 Tb 2.92
Pt  0.2500  0.7500  0.2500  4 Cd 2.92, 4 Tb 2.92
Pt  0.7500  0.2500  0.2500  4 Cd 2.92, 4 Tb 2.92
Pt  0.7500  0.7500  0.7500  4 Cd 2.92, 4 Tb 2.92

5.
DFT (GGA-PBE) results for ThCdIrPt after structural relaxation.

Properties
For the electronic total energy, the calculation gives -6.39 eV per atom. As for the crystal system: cubic. The value obtained for the density of states at the Fermi level is 0.85 states/eV/atom. Its formation energy is -585 meV per atom.

Cell lengths 6.9299, 6.9299, 6.9299 Å; angles 90.00, 90.00, 90.00 degrees
With the nearest neighbours (Å) after each atom.
Element x y z (fractional)
Th  0.0000  0.0000  0.0000  4 Pt 3.00, 4 Ir 3.00
Th  0.0000  0.5000  0.5000  4 Pt 3.00, 4 Ir 3.00
Th  0.5000  0.0000  0.5000  4 Pt 3.00, 4 Ir 3.00
Th  0.5000  0.5000  0.0000  4 Pt 3.00, 4 Ir 3.00
Cd  0.0000  0.0000  0.5000  4 Ir 3.00, 4 Pt 3.00
Cd  0.0000  0.5000  0.0000  4 Ir 3.00, 4 Pt 3.00
Cd  0.5000  0.0000  0.0000  4 Ir 3.00, 4 Pt 3.00
Cd  0.5000  0.5000  0.5000  4 Ir 3.00, 4 Pt 3.00
Ir  0.2500  0.2500  0.2500  4 Cd 3.00, 4 Th 3.00
Ir  0.2500  0.7500  0.7500  4 Cd 3.00, 4 Th 3.00
Ir  0.7500  0.2500  0.7500  4 Cd 3.00, 4 Th 3.00
Ir  0.7500  0.7500  0.2500  4 Cd 3.00, 4 Th 3.00
Pt  0.2500  0.2500  0.7500  4 Cd 3.00, 4 Th 3.00
Pt  0.2500  0.7500  0.2500  4 Cd 3.00, 4 Th 3.00
Pt  0.7500  0.2500  0.2500  4 Cd 3.00, 4 Th 3.00
Pt  0.7500  0.7500  0.7500  4 Cd 3.00, 4 Th 3.00

6.
DFT (GGA-PBE) results for UCdIrPt after structural relaxation.

Properties
For the electronic total energy, the calculation gives -7.13 eV per atom. As for the crystal system: cubic. The value obtained for the density of states at the Fermi level is 1.30 states/eV/atom. Its formation energy is -357 meV per atom.

Cell lengths 6.7453, 6.7453, 6.7453 Å; angles 90.00, 90.00, 90.00 degrees
With the nearest neighbours (Å) after each atom.
Element x y z (fractional)
U  0.0000  0.0000  0.0000  4 Ir 2.92, 4 Pt 2.92
U  0.0000  0.5000  0.5000  4 Ir 2.92, 4 Pt 2.92
U  0.5000  0.0000  0.5000  4 Ir 2.92, 4 Pt 2.92
U  0.5000  0.5000  0.0000  4 Ir 2.92, 4 Pt 2.92
Cd  0.0000  0.0000  0.5000  4 Pt 2.92, 4 Ir 2.92
Cd  0.0000  0.5000  0.0000  4 Pt 2.92, 4 Ir 2.92
Cd  0.5000  0.0000  0.0000  4 Pt 2.92, 4 Ir 2.92
Cd  0.5000  0.5000  0.5000  4 Pt 2.92, 4 Ir 2.92
Ir  0.2500  0.2500  0.7500  4 Cd 2.92, 4 U 2.92
Ir  0.2500  0.7500  0.2500  4 Cd 2.92, 4 U 2.92
Ir  0.7500  0.2500  0.2500  4 Cd 2.92, 4 U 2.92
Ir  0.7500  0.7500  0.7500  4 Cd 2.92, 4 U 2.92
Pt  0.2500  0.2500  0.2500  4 Cd 2.92, 4 U 2.92
Pt  0.2500  0.7500  0.7500  4 U 2.92, 4 Cd 2.92
Pt  0.7500  0.2500  0.7500  4 U 2.92, 4 Cd 2.92
Pt  0.7500  0.7500  0.2500  4 U 2.92, 4 Cd 2.92

7.
DFT (GGA-PBE) results for ZnCd2IrPt after structural relaxation.

Properties
For the electronic total energy, the calculation gives -2.83 eV per atom. As for the crystal system: tetragonal. The value obtained for the density of states at the Fermi level is 0.71 states/eV/atom. Its formation energy is 768 meV per atom.

Cell lengths 5.1806, 5.1806, 4.8266 Å; angles 90.00, 90.00, 90.00 degrees
With the nearest neighbours (Å) after each atom.
Element x y z (fractional)
Zn  0.0000  0.0000  0.0000  8 Cd 3.54, 4 Ir 3.66
Cd  0.0000  0.5000  0.5000  2 Pt 2.59
Cd  0.5000  0.0000  0.5000  2 Pt 2.59
Ir  0.5000  0.5000  0.0000  2 Pt 2.41
Pt  0.5000  0.5000  0.5000  2 Ir 2.41, 4 Cd 2.59

8.
DFT (GGA-PBE) results for PuCdIr after structural relaxation.

Properties
For the electronic total energy, the calculation gives -8.18 eV per atom. As for the crystal system: tetragonal. The value obtained for the density of states at the Fermi level is 2.26 states/eV/atom. Its formation energy is -148 meV per atom.

Cell lengths 3.1678, 3.1678, 12.5217 Å; angles 90.00, 90.00, 90.00 degrees
With the nearest neighbours (Å) after each atom.
Element x y z (fractional)
Pu  0.0000  0.0000  0.0000  4 Ir 2.86, 4 Pu 3.17
Pu  0.5000  0.5000  0.5000  4 Ir 2.86, 4 Pu 3.17
Cd  0.0000  0.0000  0.2927  4 Ir 2.93, 4 Cd 3.17
Cd  0.5000  0.5000  0.7927  4 Ir 2.93, 4 Cd 3.17
Ir  0.0000  0.0000  0.6423  4 Pu 2.86, 4 Cd 2.93, 4 Ir 3.17
Ir  0.5000  0.5000  0.1423  4 Pu 2.86, 4 Cd 2.93, 4 Ir 3.17

no.,spin magnetization (μB/f.u.)
1,4.49
2,0.00
3,1.07
4,0.00
5,0.00
6,1.29
7,0.00
8,5.07